A plane-wave DFT calculation with PBE was carried out for a relaxed Pm3PrIr crystal.

Output
Relative energy among the computed polymorphs: 0.000 eV per atom
Spin magnetization: 0.0 μB per cell
Density: 7.6 g/cm3
Energy relative to the elements: -0.26 eV/atom

Structure (CIF):
```
data_Pm3PrIr
_cell_length_a 7.8662
_cell_length_b 6.6952
_cell_length_c 6.4091
_cell_angle_alpha 90.00
_cell_angle_beta 90.00
_cell_angle_gamma 90.00
_space_group_name_H-M_alt 'P m n 21'
_space_group_IT_number 31
loop_
_space_group_symop_operation_xyz
'x,y,z'
'-x+1/2,-y,z+1/2'
'-x,y,z'
'x+1/2,-y,z+1/2'
loop_
_atom_site_label
_atom_site_fract_x
_atom_site_fract_y
_atom_site_fract_z
_atom_site_occupancy
Pm1 0.0000 0.1547 0.0000 1
Pm2 0.2492 0.6809 0.0054 1
Pr1 0.0000 0.8495 0.5110 1
Ir1 0.0000 0.4977 0.2551 1
```